Entry 1:
A relaxed LaNdIn crystal, computed with PBE-GGA.

Unit cell a=3.7786 b=5.3528 c=5.3528 alpha=120.00 beta=90.00 gamma=90.00
With the nearest neighbours (Å) after each atom.
Fractional positions:
Nd: 0.9588 0.0000 0.0000  3 In 3.25, 3 La 3.43
La: 0.3502 0.3333 0.6667  3 In 3.35, 3 Nd 3.43
In: 0.6910 0.6667 0.3333  3 Nd 3.25, 3 La 3.35



Entry 2:
A relaxed La2NdIn crystal, computed with PBE-GGA.

Unit cell a=5.6993 b=5.6993 c=5.6993 alpha=60.00 beta=60.00 gamma=60.00
With the nearest neighbours (Å) after each atom.
Fractional positions:
Nd: 0.5000 0.5000 0.5000  8 La 3.49
La: 0.2500 0.2500 0.2500  4 In 3.49, 4 Nd 3.49
La: 0.7500 0.7500 0.7500  4 Nd 3.49, 4 In 3.49
In: 0.0000 0.0000 0.0000  8 La 3.49



Results for VASP energy: -4.415; -4.495 (in eV/atom, following the order of the records).